Entry 1:
The following is a DFT calculation (PBE) of an optimized crystal structure of Y2TaAl.

Structure (CIF):
```
data_Y2TaAl
_cell_length_a 4.4707
_cell_length_b 4.4707
_cell_length_c 9.2457
_cell_angle_alpha 90.00
_cell_angle_beta 90.00
_cell_angle_gamma 90.00
_symmetry_space_group_name_H-M 'I 4/m m m'
_symmetry_Int_Tables_number 139
_symmetry_space_group_name_Hall '-I 4 2'
loop_
_atom_site_label
_atom_site_type_symbol
_atom_site_fract_x
_atom_site_fract_y
_atom_site_fract_z
Y1 Y 0.0000 0.5000 0.2500
Ta1 Ta 0.0000 0.0000 0.0000
Al1 Al 0.0000 0.0000 0.5000
```

Values from the calculation:
DOS at the Fermi energy ... 0.7058 states/eV/atom
Formation energy from the elements ... 121 meV per atom

Entry 2:
The following is a DFT calculation (PBE) of an optimized crystal structure of Ba2NaPbO.

Structure (CIF):
```
data_Ba2NaPbO
_cell_length_a 5.5351
_cell_length_b 5.5351
_cell_length_c 4.9778
_cell_angle_alpha 90.00
_cell_angle_beta 90.00
_cell_angle_gamma 90.00
_symmetry_space_group_name_H-M 'P 4/m m m'
_symmetry_Int_Tables_number 123
_symmetry_space_group_name_Hall '-P 4 2'
loop_
_atom_site_label
_atom_site_type_symbol
_atom_site_fract_x
_atom_site_fract_y
_atom_site_fract_z
Ba1 Ba 0.0000 0.5000 0.0000
Na1 Na 0.0000 0.0000 0.5000
Pb1 Pb 0.5000 0.5000 0.5000
O1 O 0.0000 0.0000 0.0000
```

Values from the calculation:
DOS at the Fermi energy ... 0.9340 states/eV/atom
Raw formation energy ... -1.16 eV per atom

| no. | magnetic moment (μB per atom) |
| --- | --- |
| 1 | 0.00 |
| 2 | 0.00 |